1.
An optimized crystal structure of ScCdW2. Source: the Alexandria database, functional PBE.

Cell and atoms, written as POSCAR:
```
ScCdW2
1.0
2.8171 -4.8721 0.0000
2.8171 4.8721 0.0000
-0.9526 0.0000 2.6177
Sc Cd W
1 1 2
Cartesian
0.0000 0.0000 0.0000
2.8171 0.0000 0.0000
0.9323 2.4360 1.3088
0.9323 -2.4360 1.3088
```

Summary:
D(E_F) = 3.17 states/eV/f.u.
Space-group type = C2/m
ΔE_f = 38.8 kJ per mole of atoms


2.
An optimized crystal structure of ScCdW2. Source: the Alexandria database, functional PBE.

Cell and atoms, written as POSCAR:
```
ScCdW2
1.0
-3.8312 3.8312 2.7009
3.8312 -3.8312 2.7009
3.8312 3.8312 -2.7009
Sc Cd W
2 2 4
Cartesian
0.0000 0.0000 0.0000
0.0000 3.8312 1.3505
3.8312 0.0000 1.3505
0.0000 0.0000 2.7009
1.9156 2.0117 -0.6752
5.6506 1.9156 0.6752
1.9156 1.8195 2.0257
-1.8195 1.9156 3.3762
```

Summary:
D(E_F) = 4.19 states/eV/f.u.
Space-group type = I-42d
ΔE_f = 112.1 kJ per mole of atoms